[1]
DFT (GGA-PBE) results for crystalline Nd2Tc at its relaxed geometry.

Calculated values
The value obtained for the spin magnetization is 1.22 μB/f.u. As for the formation energy: 1.24 eV/atom. As for the symmetry: Fd-3m. Its electronic total energy is -5.390 eV/atom.

a = 6.069 Å, b = 6.069 Å, c = 6.069 Å
α = 60.00°, β = 60.00°, γ = 60.00°
Sites, in units of the cell vectors:
1 Nd 0.000 0.000 0.000
2 Nd 0.000 0.000 0.500
3 Nd 0.000 0.500 0.000
4 Nd 0.500 0.000 0.000
5 Tc 0.375 0.375 0.375
6 Tc 0.625 0.625 0.625

[2]
DFT (GGA-PBE) results for crystalline NdTc at its relaxed geometry.

Calculated values
The value obtained for the spin magnetization is 1.80 μB/f.u. As for the formation energy: 1.00 eV/atom. The calculation puts the offset from the most stable computed form at 0.282 eV/atom. As for the symmetry: Fm-3m. Its electronic total energy is -6.564 eV/atom.

a = 5.854 Å, b = 5.854 Å, c = 5.854 Å
α = 90.00°, β = 90.00°, γ = 90.00°
Sites, in units of the cell vectors:
1 Nd 0.000 0.000 0.000
2 Nd 0.000 0.500 0.500
3 Nd 0.500 0.000 0.500
4 Nd 0.500 0.500 0.000
5 Tc 0.000 0.000 0.500
6 Tc 0.000 0.500 0.000
7 Tc 0.500 0.000 0.000
8 Tc 0.500 0.500 0.500

[3]
DFT (GGA-PBE) results for crystalline NdTc at its relaxed geometry.

Calculated values
The value obtained for the spin magnetization is 0.11 μB/f.u. As for the formation energy: 0.72 eV/atom. The calculation puts the offset from the most stable computed form at 0.000 eV/atom. As for the symmetry: P-6m2. Its electronic total energy is -6.846 eV/atom.

a = 3.466 Å, b = 3.466 Å, c = 4.373 Å
α = 90.00°, β = 90.00°, γ = 120.00°
Sites, in units of the cell vectors:
1 Nd 0.000 0.000 0.000
2 Tc 0.667 0.333 0.500